Ce4Hg5 (PBE-GGA, relaxed); energy of formation from the pure elements = -0.277 eV per atom; energy = -3.0824 eV per atom; DOS(E_F) = 19.35 states/eV per cell
1.0
5.4821 -2.6020 0.0000
5.4821 2.6020 0.0000
-5.0265 0.0000 8.1500
Ce Hg
4 5
Cartesian
-0.5163 0.0000 1.3309 Ce
2.1261 0.0000 2.2273 Ce
3.8116 0.0000 5.9227 Ce
6.4540 0.0000 6.8192 Ce
-2.5133 0.0000 4.0750 Hg
0.5083 0.0000 4.9695 Hg
-1.1011 0.0000 7.6783 Hg
7.0389 0.0000 0.4718 Hg
5.4294 0.0000 3.1805 Hg